# HfCo3W (PBE-GGA, optimized geometry)
data_HfCo3W
_cell_length_a 4.397
_cell_length_b 4.397
_cell_length_c 4.397
_cell_angle_alpha 90.00
_cell_angle_beta 90.00
_cell_angle_gamma 90.00
_space_group_name_H-M_alt 'P m -3 m'
_space_group_IT_number 221
_space_group_name_Hall '-P 4 2 3'
loop_
_atom_site_label
_atom_site_type_symbol
_atom_site_fract_x
_atom_site_fract_y
_atom_site_fract_z
Hf1 Hf 0.000 0.000 0.000
Co1 Co 0.000 0.500 0.500
W1 W 0.500 0.500 0.500
# - E_tot: -39.14 eV per formula unit
# - Formation energy from the elements: 1017 meV per atom
# - Energy above the most stable polymorph in this dataset: 0.000 eV/atom

---

# Mn5BeTc2B2 (PBE-GGA, optimized geometry)
data_Mn5BeTc2B2
_cell_length_a 8.559
_cell_length_b 8.559
_cell_length_c 2.787
_cell_angle_alpha 90.00
_cell_angle_beta 90.00
_cell_angle_gamma 90.00
_space_group_name_H-M_alt 'P 4/m b m'
_space_group_IT_number 127
_space_group_name_Hall '-P 4 2ab'
loop_
_atom_site_label
_atom_site_type_symbol
_atom_site_fract_x
_atom_site_fract_y
_atom_site_fract_z
Mn1 Mn 0.000 0.500 0.000
Mn2 Mn 0.063 0.207 0.000
Be1 Be 0.000 0.000 0.500
Tc1 Tc 0.178 0.678 0.500
B1 B 0.126 0.374 0.500
# - E_tot: -85.74 eV per formula unit
# - Formation energy from the elements: -208 meV per atom